# RbYCr2Fe | the Alexandria database | PBE | optimized geometry
# E = -5.279 eV/atom
# DFT formation energy = 1748.9 meV/atom
# N(E_F) = 5.0 states/eV/f.u.
data_RbYCr2Fe
_chemical_formula_sum 'Rb1 Y1 Cr2 Fe1'
_space_group_name_H-M_alt 'P 4/m m m'
_space_group_IT_number 123
_space_group_name_Hall '-P 4 2'
_cell_length_a 5.770
_cell_length_b 5.770
_cell_length_c 4.674
_cell_angle_alpha 90.00
_cell_angle_beta 90.00
_cell_angle_gamma 90.00
loop_
_atom_site_label
_atom_site_type_symbol
_atom_site_fract_x
_atom_site_fract_y
_atom_site_fract_z
Rb1 Rb 0.000 0.000 0.000
Y1 Y 0.500 0.500 0.500
Cr1 Cr 0.000 0.500 0.500
Fe1 Fe 0.500 0.500 0.000